# Th6GaTe3As2

Crystalline Th6GaTe3As2 at its relaxed geometry (PBE, Alexandria via LeMat-Bulk).

Values from the calculation:
Formation energy (no corrections) (eV per atom): -1.10
Spin magnetization (Bohr magnetons per cell): 0.00
Symmetry: C2/m

```
Th6GaTe3As2
1.0
9.642 -2.182 0.000
9.642 2.182 0.000
-2.330 0.000 8.509
Th Ga Te As
6 1 3 2
Cartesian
-0.385 0.000 1.980
5.290 0.000 3.704
4.472 0.000 7.638
12.481 0.000 0.871
11.663 0.000 4.805
17.338 0.000 6.529
9.642 0.000 0.000
1.258 0.000 7.094
8.476 0.000 4.254
15.695 0.000 1.415
2.456 0.000 2.848
14.497 0.000 5.661
```